1.
TcPbW2 | PBE-GGA | optimized geometry

Output
Formation energy from the elements (eV/atom): 0.63

Lattice parameters (Å, degrees): 3.0367 4.0544 5.9388 90.00 90.00 90.00
Fractional coordinates of all 4 atoms:
W1 0.5000 0.5000 0.1988
W2 0.0000 0.0000 0.9991
Pb1 0.0000 0.0000 0.5048
Tc1 0.5000 0.5000 0.7973


2.
FeBi2IN | PBE-GGA | optimized geometry

Output
ΔE_f (raw) (eV/atom): 0.52

Lattice parameters (Å, degrees): 5.6326 3.5501 5.6326 90.00 90.00 90.00
Fractional coordinates of all 5 atoms:
Fe1 0.0000 0.5000 0.0000
I1 0.5000 0.5000 0.5000
Bi1 0.0000 0.0000 0.5000
Bi2 0.5000 0.0000 0.0000
N1 0.0000 0.0000 0.0000


Q: What is the formula in the first record?
A: TcPbW2